Record 1
# CaTbEuTl PBE relaxed
data_CaTbEuTl
_chemical_formula_sum 'Ca4 Tb4 Eu4 Tl4'
_cell_length_a 8.000
_cell_length_b 8.000
_cell_length_c 8.000
_cell_angle_alpha 90.00
_cell_angle_beta 90.00
_cell_angle_gamma 90.00
_space_group_name_H-M_alt 'F -4 3 m'
_space_group_IT_number 216
_space_group_name_Hall 'F -4 2 3'
loop_
_atom_site_label
_atom_site_type_symbol
_atom_site_fract_x
_atom_site_fract_y
_atom_site_fract_z
Ca1 Ca 0.000 0.000 0.000
Tb1 Tb 0.250 0.250 0.750
Eu1 Eu 0.250 0.250 0.250
Tl1 Tl 0.000 0.000 0.500
# **Energy of formation**: -0.09 eV per atom
# **Total DFT energy (no corrections)**: -78.50 eV for the cell shown

Record 2
# CaTbEuTm PBE relaxed
data_CaTbEuTm
_chemical_formula_sum 'Ca4 Tb4 Eu4 Tm4'
_cell_length_a 8.244
_cell_length_b 8.244
_cell_length_c 8.244
_cell_angle_alpha 90.00
_cell_angle_beta 90.00
_cell_angle_gamma 90.00
_space_group_name_H-M_alt 'F -4 3 m'
_space_group_IT_number 216
_space_group_name_Hall 'F -4 2 3'
loop_
_atom_site_label
_atom_site_type_symbol
_atom_site_fract_x
_atom_site_fract_y
_atom_site_fract_z
Ca1 Ca 0.000 0.000 0.000
Tb1 Tb 0.250 0.250 0.750
Eu1 Eu 0.250 0.250 0.250
Tm1 Tm 0.000 0.000 0.500
# **Energy of formation**: 0.15 eV per atom
# **Total DFT energy (no corrections)**: -83.04 eV for the cell shown

Record 3
# CaTbEuY PBE relaxed
data_CaTbEuY
_chemical_formula_sum 'Ca4 Tb4 Eu4 Y4'
_cell_length_a 8.308
_cell_length_b 8.308
_cell_length_c 8.308
_cell_angle_alpha 90.00
_cell_angle_beta 90.00
_cell_angle_gamma 90.00
_space_group_name_H-M_alt 'F -4 3 m'
_space_group_IT_number 216
_space_group_name_Hall 'F -4 2 3'
loop_
_atom_site_label
_atom_site_type_symbol
_atom_site_fract_x
_atom_site_fract_y
_atom_site_fract_z
Ca1 Ca 0.000 0.000 0.000
Tb1 Tb 0.250 0.250 0.750
Eu1 Eu 0.250 0.250 0.250
Y1 Y 0.000 0.000 0.500
# **Energy of formation**: 0.15 eV per atom
# **Total DFT energy (no corrections)**: -91.10 eV for the cell shown

Record 4
# CaEuTe2 PBE relaxed
data_CaEuTe2
_chemical_formula_sum 'Ca3 Eu3 Te6'
_cell_length_a 4.5840
_cell_length_b 4.5840
_cell_length_c 22.4464
_cell_angle_alpha 90.00
_cell_angle_beta 90.00
_cell_angle_gamma 120.00
_space_group_name_H-M_alt 'R -3 m'
_space_group_IT_number 166
_space_group_name_Hall '-R 3 2"'
loop_
_atom_site_label
_atom_site_type_symbol
_atom_site_fract_x
_atom_site_fract_y
_atom_site_fract_z
Ca1 Ca 0.0000 0.0000 0.0000
Eu1 Eu 0.0000 0.0000 0.5000
Te1 Te 0.0000 0.0000 0.2525
# **Total DFT energy (no corrections)**: -75.60 eV for the cell shown
# **E_form (uncorrected)**: -1.66 eV/atom

Record 5
# Ca2EuTe PBE relaxed
data_Ca2EuTe
_chemical_formula_sum 'Ca2 Eu1 Te1'
_cell_length_a 3.933
_cell_length_b 3.933
_cell_length_c 9.583
_cell_angle_alpha 90.00
_cell_angle_beta 90.00
_cell_angle_gamma 90.00
_space_group_name_H-M_alt 'P 4/m m m'
_space_group_IT_number 123
_space_group_name_Hall '-P 4 2'
loop_
_atom_site_label
_atom_site_type_symbol
_atom_site_fract_x
_atom_site_fract_y
_atom_site_fract_z
Ca1 Ca 0.000 0.000 0.190
Eu1 Eu 0.500 0.500 0.500
Te1 Te 0.500 0.500 0.000
# **Total DFT energy (no corrections)**: -20.07 eV for the cell shown
# **E_form (uncorrected)**: -0.66 eV/atom

Record 6
# CaEuTe PBE relaxed
data_CaEuTe
_chemical_formula_sum 'Ca2 Eu2 Te2'
_cell_length_a 3.963
_cell_length_b 3.963
_cell_length_c 13.697
_cell_angle_alpha 90.00
_cell_angle_beta 90.00
_cell_angle_gamma 90.00
_space_group_name_H-M_alt 'I 4 m m'
_space_group_IT_number 107
_space_group_name_Hall 'I 4 -2'
loop_
_atom_site_label
_atom_site_type_symbol
_atom_site_fract_x
_atom_site_fract_y
_atom_site_fract_z
Ca1 Ca 0.000 0.000 0.000
Eu1 Eu 0.000 0.000 0.729
Te1 Te 0.000 0.000 0.370
# **Total DFT energy (no corrections)**: -36.44 eV for the cell shown
# **E_form (uncorrected)**: -0.93 eV/atom

Q: Number 2 is which compound?
A: CaTbEuTm